# YMgRh2, optimized geometry, DFT PBE
# - Fermi-level density of states (states/eV per cell) = 8.8
# - density (g/cm³) = 7.337
# - ΔH_f (0 K) (eV/atom) = -0.500
# - crystal system = tetragonal
# - magnetic moment (μB per formula unit) = 0.0
data_YMgRh2
_chemical_formula_sum 'Y2 Mg2 Rh4'
_space_group_name_H-M_alt 'I -4 m 2'
_space_group_IT_number 119
_space_group_name_Hall 'I -4 -2'
_cell_length_a 3.9238
_cell_length_b 3.9238
_cell_length_c 9.3784
_cell_angle_alpha 90.00
_cell_angle_beta 90.00
_cell_angle_gamma 90.00
loop_
_atom_site_label
_atom_site_fract_x
_atom_site_fract_y
_atom_site_fract_z
Y1 0.0000 0.0000 0.0000
Mg1 0.0000 0.5000 0.7500
Rh1 0.0000 0.0000 0.5000
Rh2 0.0000 0.5000 0.2500